1.
Computed, not measured: an optimized crystal structure of Rb2CaTlI6 at the PBE-GGA level of DFT.

Cell and atoms, written as POSCAR:
```
Rb2CaTlI6
1.0
-8.656 -1.871 -0.422
0.849 -1.992 -8.597
-2.688 -7.894 -3.008
I Tl Ca Rb
6 1 1 2
Cartesian
-3.303 -4.879 -3.767 I
-7.192 -6.877 -8.260 I
-1.974 -0.977 -2.280 I
-5.833 -2.886 -6.739 I
-6.253 -1.901 -2.489 I
-1.554 -1.961 -6.530 I
0.000 0.000 0.000 Tl
-3.903 -1.931 -4.510 Ca
-7.624 -5.848 -3.970 Rb
-2.871 -5.908 -8.058 Rb
```

Output
calculated volume: 49.268 Å³ per atom
excess energy over the best structure of this formula in the dataset: 5.04 kJ/mol of atoms
electronic total energy: -2.67 eV per atom
raw formation energy: -1.113 eV/atom


2.
Computed, not measured: an optimized crystal structure of Pm5Ga4Ru at the PBE-GGA level of DFT.

Cell and atoms, written as POSCAR:
```
Pm5Ga4Ru
1.0
3.634 0.000 0.000
0.000 3.634 0.000
0.000 0.000 18.195
Pm Ga Ru
5 4 1
Cartesian
1.817 1.817 1.665 Pm
1.817 1.817 5.379 Pm
1.817 1.817 9.098 Pm
1.817 1.817 12.816 Pm
1.817 1.817 16.530 Pm
0.000 0.000 3.574 Ga
0.000 0.000 7.253 Ga
0.000 0.000 10.942 Ga
0.000 0.000 14.621 Ga
0.000 0.000 0.000 Ru
```

Output
ΔE_f: -0.4898 eV/atom
calculated volume: 24.034 Å³ per atom
electronic total energy: -5.00 eV per atom